# ErPaTe

A geometry-optimized ErPaTe structure (GGA-PBE, OQMD).

The structure in POSCAR format:
```
ErPaTe
1.0
-2.3027 -3.6030 2.7061
-3.6893 -2.7638 -2.0877
0.7976 -4.8780 -1.0847
Er Pa Te
1 1 1
Cartesian
-2.5972 -5.6224 -0.2331 Er
0.0000 0.0000 0.0000 Pa
-1.2986 -2.8112 -0.1166 Te
```

## Properties
The relative energy among the computed polymorphs comes out at 0 meV per atom. Its magnetization is 2.2 Bohr magnetons per cell.



# ScInNiPt

A geometry-optimized ScInNiPt structure (GGA-PBE, OQMD).

The structure in POSCAR format:
```
ScInNiPt
1.0
0.0000 3.2313 3.2313
3.2313 0.0000 3.2313
3.2313 3.2313 0.0000
In Ni Pt Sc
1 1 1 1
Cartesian
0.0000 0.0000 0.0000 In
4.8470 4.8470 4.8470 Ni
3.2313 3.2313 3.2313 Pt
1.6157 1.6157 1.6157 Sc
```

## Properties
The relative energy among the computed polymorphs comes out at 243 meV per atom. Its magnetization is 0.0 Bohr magnetons per cell.



# DyYSi2Os

A geometry-optimized DyYSi2Os structure (GGA-PBE, OQMD).

The structure in POSCAR format:
```
DyYSi2Os
1.0
5.3445 -2.1124 0.0000
5.3445 2.1124 0.0000
-4.8513 0.0000 8.7585
Dy Os Si Y
2 2 4 2
Cartesian
-0.7776 0.0000 1.5632 Dy
6.6153 0.0000 7.1953 Dy
2.2747 0.0000 1.1109 Os
3.5630 0.0000 7.6476 Os
6.6004 0.0000 0.5319 Si
3.5507 0.0000 3.2843 Si
2.2870 0.0000 5.4741 Si
-0.7627 0.0000 8.2265 Si
6.8185 0.0000 3.4128 Y
-0.9807 0.0000 5.3456 Y
```

## Properties
The relative energy among the computed polymorphs comes out at 0 meV per atom. Its magnetization is 0.3 Bohr magnetons per cell.



# Sc3ReB7

A geometry-optimized Sc3ReB7 structure (GGA-PBE, OQMD).

The structure in POSCAR format:
```
Sc3ReB7
1.0
1.5372 -12.8067 0.0000
1.5372 12.8067 0.0000
-0.0008 0.0000 7.7276
B Re Sc
14 2 6
Cartesian
1.5367 -7.0143 0.9870 B
1.5367 7.0143 0.9870 B
1.5366 -5.1587 1.7665 B
1.5366 5.1587 1.7665 B
1.5366 -3.8941 2.9952 B
1.5366 3.8941 2.9952 B
1.5388 -0.8175 3.8763 B
1.5388 0.8175 3.8763 B
1.5367 -3.8945 4.7295 B
1.5367 3.8945 4.7295 B
1.5367 -5.1576 5.9596 B
1.5367 5.1576 5.9596 B
1.5367 -7.0147 6.7393 B
1.5367 7.0147 6.7393 B
1.5360 -10.2982 3.8629 Re
1.5360 10.2982 3.8629 Re
1.5365 -9.5485 1.3539 Sc
1.5365 9.5485 1.3539 Sc
1.5368 -7.4413 3.8625 Sc
1.5368 7.4413 3.8625 Sc
1.5369 -9.5526 6.3691 Sc
1.5369 9.5526 6.3691 Sc
```

## Properties
The total energy comes out at -6.960 eV/atom. Its magnetization is 0.3 Bohr magnetons per cell.



# Pr2GdMg3Ir2Pd

A geometry-optimized Pr2GdMg3Ir2Pd structure (GGA-PBE, OQMD).

The structure in POSCAR format:
```
Pr2GdMg3Ir2Pd
1.0
-0.2946 -3.6976 1.7378
7.4662 -0.4638 0.2788
-3.7494 2.9982 5.7437
Gd Ir Mg Pd Pr
1 2 3 1 2
Cartesian
1.5434 1.0524 2.5009 Gd
3.5195 -1.1475 2.9826 Ir
-0.1128 -0.0263 4.7525 Ir
1.6800 -1.9540 0.9547 Mg
-1.0482 -1.1119 2.2841 Mg
2.6486 0.0577 5.3992 Mg
0.0188 0.0128 0.0305 Pd
4.3428 -0.2685 0.1647 Pr
-2.1785 1.7444 3.3423 Pr
```

## Properties
The total energy comes out at -5.273 eV/atom. Its magnetization is 0.0 Bohr magnetons per cell.



# MgCoSn4

A geometry-optimized MgCoSn4 structure (GGA-PBE, OQMD).

The structure in POSCAR format:
```
MgCoSn4
1.0
-3.7453 -2.4083 0.4139
2.2922 -3.2000 2.1224
-1.3571 3.1890 6.2737
Co Mg Sn
1 1 4
Cartesian
0.0000 0.0000 0.0000 Co
-1.4052 -1.2096 4.4050 Mg
-2.1603 -0.5282 1.5368 Sn
0.8584 -0.9240 2.3910 Sn
-2.9421 1.3089 5.1508 Sn
0.0766 0.9130 6.0051 Sn
```

## Properties
The total energy comes out at -4.137 eV/atom. Its magnetization is 0.0 Bohr magnetons per cell.



Number 1: volume 91.6 Å³/cell. Number 2: volume 67.5 Å³/cell. Number 3: volume 197.8 Å³/cell. Number 4: volume 304.3 Å³/cell. Number 5: volume 199.3 Å³/cell. Number 6: volume 143.3 Å³/cell.